A plane-wave DFT calculation with PBE-GGA was carried out for crystalline SrTi2Co2 at its relaxed geometry.

Unit cell a=7.699 b=7.699 c=2.971 alpha=90.00 beta=90.00 gamma=90.00
Positions (direct):
Ti1 0.865 0.365 0.500
Ti2 0.135 0.635 0.500
Ti3 0.635 0.865 0.500
Ti4 0.365 0.135 0.500
Co1 0.873 0.627 0.000
Co2 0.627 0.127 0.000
Co3 0.373 0.873 0.000
Co4 0.127 0.373 0.000
Sr1 0.000 0.000 0.000
Sr2 0.500 0.500 0.000

energy of formation = 0.15 eV/atom
total moment = 0.00 μB per cell
ΔE to the lowest computed polymorph = 18.42 kJ/mol of atoms